# Sr2LiNi3Sb4

Crystalline Sr2LiNi3Sb4 at its relaxed geometry (PBE-GGA, the Alexandria database).

Cell lengths 4.577, 4.577, 10.415 Å; angles 90.00, 90.00, 90.00 degrees
Space group P-4m2 (No. 115)
Asymmetric unit:
Sr1 0.000 0.500 0.244 [2 per cell]
Li1 0.500 0.500 0.000 [1 per cell]
Ni1 0.000 0.000 0.000 [1 per cell]
Ni2 0.000 0.500 0.619 [2 per cell]
Sb1 0.000 0.000 0.500 [1 per cell]
Sb2 0.000 0.500 0.867 [2 per cell]
Sb3 0.500 0.500 0.500 [1 per cell]

Energy, eV/cell: -45.0
E_form (uncorrected), eV/atom: -0.5844
Theoretical density, g/cm3: 6.43
Magnetic moment, μB/cell: 0.00

---

# BaCaSi3

Crystalline BaCaSi3 at its relaxed geometry (PBE-GGA, the Alexandria database).

Cell lengths 5.351, 5.351, 5.351 Å; angles 90.00, 90.00, 90.00 degrees
Space group Pm-3m (No. 221)
Asymmetric unit:
Ba1 0.000 0.000 0.000 [1 per cell]
Ca1 0.500 0.500 0.500 [1 per cell]
Si1 0.000 0.500 0.500 [3 per cell]

Energy, eV/cell: -17.3
E_form (uncorrected), eV/atom: 0.5846
Theoretical density, g/cm3: 2.84
Magnetic moment, μB/cell: 0.00
E above lowest polymorph, meV/atom: 844

---

# Li2MoW

Crystalline Li2MoW at its relaxed geometry (PBE-GGA, the Alexandria database).

Cell lengths 5.078, 9.490, 2.568 Å; angles 90.00, 90.00, 90.00 degrees
Space group Cmmm (No. 65)
Asymmetric unit:
Li1 0.250 0.250 0.000 [4 per cell]
Mo1 0.000 0.000 0.500 [2 per cell]
W1 0.000 0.500 0.500 [2 per cell]

Energy, eV/cell: -50.9
Formation energy from the elements, kJ/mol of atoms: 52.57
Theoretical density, g/cm3: 7.88
Magnetic moment, μB/cell: 0.00
E above lowest polymorph, meV/atom: 309

---

# HfTiCoAu

Crystalline HfTiCoAu at its relaxed geometry (PBE-GGA, the Alexandria database).

Cell lengths 6.447, 6.447, 6.447 Å; angles 90.00, 90.00, 90.00 degrees
Space group F-43m (No. 216)
Asymmetric unit:
Hf1 0.000 0.000 0.000 [4 per cell]
Ti1 0.000 0.000 0.500 [4 per cell]
Co1 0.250 0.250 0.750 [4 per cell]
Au1 0.250 0.250 0.250 [4 per cell]

Energy, eV/cell: -117.0
Formation energy from the elements, kJ/mol of atoms: -24.79
Theoretical density, g/cm3: 11.95
Magnetic moment, μB/cell: 2.48

---

# HfScIr2

Crystalline HfScIr2 at its relaxed geometry (PBE-GGA, the Alexandria database).

Cell lengths 6.513, 6.513, 6.513 Å; angles 90.00, 90.00, 90.00 degrees
Space group Fm-3m (No. 225)
Asymmetric unit:
Hf1 0.000 0.000 0.000 [4 per cell]
Sc1 0.000 0.000 0.500 [4 per cell]
Ir1 0.250 0.250 0.250 [8 per cell]

Energy, eV/cell: -151.7
Formation energy from the elements, kJ/mol of atoms: -94.69
Theoretical density, g/cm3: 14.61
Magnetic moment, μB/cell: 0.00
E above lowest polymorph, meV/atom: 2

---

# Ce3Co2Ge6Ir

Crystalline Ce3Co2Ge6Ir at its relaxed geometry (PBE-GGA, the Alexandria database).

Cell lengths 6.2280, 6.2280, 7.0442 Å; angles 90.00, 90.00, 120.00 degrees
Space group P-3m1 (No. 164)
Asymmetric unit:
Ce1 0.0000 0.0000 0.0000 [1 per cell]
Ce2 0.3333 0.6667 0.7174 [2 per cell]
Co1 0.3333 0.6667 0.0162 [2 per cell]
Ge1 0.1940 0.3880 0.3004 [6 per cell]
Ir1 0.0000 0.0000 0.5000 [1 per cell]

Energy, eV/cell: -72.1
Formation energy from the elements, kJ/mol of atoms: -28.62
Theoretical density, g/cm3: 8.18
Magnetic moment, μB/cell: 0.68

---

# Ho5TeRh2

Crystalline Ho5TeRh2 at its relaxed geometry (PBE-GGA, the Alexandria database).

Cell lengths 7.697, 7.697, 13.514 Å; angles 90.00, 90.00, 90.00 degrees
Space group I4/mcm (No. 140)
Asymmetric unit:
Ho1 0.000 0.000 0.000 [4 per cell]
Ho2 0.155 0.345 0.136 [16 per cell]
Te1 0.000 0.000 0.250 [4 per cell]
Rh1 0.142 0.358 0.500 [8 per cell]

Energy, eV/cell: -189.5
E_form (uncorrected), eV/atom: -0.8293
Theoretical density, g/cm3: 9.61
Magnetic moment, μB/cell: 0.00

---

# NbCuBi2As

Crystalline NbCuBi2As at its relaxed geometry (PBE-GGA, the Alexandria database).

Cell lengths 5.667, 5.667, 4.267 Å; angles 90.00, 90.00, 90.00 degrees
Space group P4/mmm (No. 123)
Asymmetric unit:
Nb1 0.000 0.000 0.000 [1 per cell]
Cu1 0.500 0.500 0.000 [1 per cell]
Bi1 0.000 0.500 0.500 [2 per cell]
As1 0.500 0.500 0.500 [1 per cell]

Energy, eV/cell: -22.1
Formation energy from the elements, kJ/mol of atoms: 86.78
Theoretical density, g/cm3: 7.87
Magnetic moment, μB/cell: 2.70

---

# Sm2Ho12Er

Crystalline Sm2Ho12Er at its relaxed geometry (PBE-GGA, the Alexandria database).

Cell lengths 3.561, 5.585, 24.026 Å; angles 90.00, 94.19, 90.00 degrees
Space group P2/m (No. 10)
Asymmetric unit:
Sm1 0.139 0.000 0.279 [2 per cell]
Ho1 0.034 0.500 0.066 [2 per cell]
Ho2 0.067 0.000 0.134 [2 per cell]
Ho3 0.222 0.500 0.444 [2 per cell]
Ho4 0.286 0.000 0.573 [2 per cell]
Ho5 0.335 0.500 0.671 [2 per cell]
Ho6 0.404 0.500 0.809 [2 per cell]
Er1 0.500 0.000 0.000 [1 per cell]

Energy, eV/cell: -67.3
Formation energy from the elements, kJ/mol of atoms: 10.33
Theoretical density, g/cm3: 8.53
Magnetic moment, μB/cell: 0.00

---

# Sr2LiSbAu6

Crystalline Sr2LiSbAu6 at its relaxed geometry (PBE-GGA, the Alexandria database).

Cell lengths 13.070, 5.540, 9.394 Å; angles 90.00, 133.59, 90.00 degrees
Space group C2/m (No. 12)
Asymmetric unit:
Sr1 0.031 0.000 0.278 [4 per cell]
Li1 0.000 0.500 0.500 [2 per cell]
Sb1 0.000 0.500 0.000 [2 per cell]
Au1 0.160 0.500 0.901 [4 per cell]
Au2 0.232 0.250 0.718 [8 per cell]

Energy, eV/cell: -68.0
E_form (uncorrected), eV/atom: -0.4924
Theoretical density, g/cm3: 10.01
Magnetic moment, μB/cell: 0.00

---

# Tl2CoBr

Crystalline Tl2CoBr at its relaxed geometry (PBE-GGA, the Alexandria database).

Cell lengths 7.471, 7.471, 7.471 Å; angles 90.00, 90.00, 90.00 degrees
Space group F-43m (No. 216)
Asymmetric unit:
Tl1 0.000 0.000 0.000 [4 per cell]
Tl2 0.250 0.250 0.250 [4 per cell]
Co1 0.250 0.250 0.750 [4 per cell]
Br1 0.000 0.000 0.500 [4 per cell]

Energy, eV/cell: -45.1
E_form (uncorrected), eV/atom: 0.5585
Theoretical density, g/cm3: 8.72
Magnetic moment, μB/cell: 7.28
E above lowest polymorph, meV/atom: 424

---

# CaYCd2

Crystalline CaYCd2 at its relaxed geometry (PBE-GGA, the Alexandria database).

Cell lengths 7.485, 7.485, 7.485 Å; angles 90.00, 90.00, 90.00 degrees
Space group F-43m (No. 216)
Asymmetric unit:
Ca1 0.000 0.000 0.000 [4 per cell]
Y1 0.250 0.250 0.250 [4 per cell]
Cd1 0.000 0.000 0.500 [4 per cell]
Cd2 0.250 0.250 0.750 [4 per cell]

Energy, eV/cell: -42.6
Formation energy from the elements, kJ/mol of atoms: -8.38
Theoretical density, g/cm3: 5.60
Magnetic moment, μB/cell: 0.00

---

Q: Among the records above, which one has the lowest theoretical density?
A: BaCaSi3